Record 1
MnAgSeN2: optimized geometry, PBE.

Values from the calculation:
DOS at the Fermi energy: 3.14 states/eV/f.u.
energy relative to the lowest polymorph listed for this composition: 1.128 eV/atom
space group: P4/mmm
formation energy without anion corrections: 1.71 eV/atom
total DFT energy (no corrections): -23.60 eV per cell

extended XYZ file:
```
5
Lattice="-3.5660 1.7071 0.3879 -0.9060 -2.5528 2.9057 2.4291 4.0864 4.3474" Properties=species:S:1:pos:R:3 pbc="T T T"
Mn -1.0214 1.6203 3.8205
Se 1.2146 2.0432 2.1737
Ag 0.0000 0.0000 0.0000
N -0.4530 -1.2764 1.4529
N -1.7830 0.8535 0.1940
```

Record 2
BAuO2: optimized geometry, PBE.

Values from the calculation:
DOS at the Fermi energy: 1.07 states/eV/f.u.
space group: I-42d
formation energy without anion corrections: -1.03 eV/atom
total DFT energy (no corrections): -47.95 eV per cell

extended XYZ file:
```
8
Lattice="-2.3355 3.4994 2.1737 -2.8632 -3.1754 2.0357 -0.4185 -0.0665 4.8157" Properties=species:S:1:pos:R:3 pbc="T T T"
B -2.5993 0.1620 2.1047
B -2.9405 -1.5399 4.4780
Au 0.0000 0.0000 0.0000
Au -2.6766 1.7975 4.5470
O -1.5222 1.1743 2.4447
O -2.5861 -0.9645 3.1202
O -2.7537 -0.4721 5.5389
O -4.3724 0.7775 6.9463
```